An optimized crystal structure of Li2TlReRh, computed with PBE-GGA.

Geometry as POSCAR:
```
Li2TlReRh
1.0
4.528 0.000 0.000
0.000 5.030 0.000
0.000 0.000 4.528
Li Tl Rh Re
2 1 1 1
Direct
0.000 0.000 0.500
0.500 0.000 0.000
0.000 0.000 0.000
0.000 0.500 0.000
0.500 0.500 0.500
```

* D(E_F): 4.57 states/eV/cell
* volume: 103 Å³ per cell
* space-group type: P4/mmm, No. 123
* energy of formation: 1.418 eV per atom

An optimized crystal structure of LiReRhW, computed with PBE-GGA.

Geometry as POSCAR:
```
LiReRhW
1.0
4.323 0.000 0.000
2.161 3.744 0.000
2.161 1.248 3.529
W Rh Li Re
1 1 1 1
Direct
0.000 0.000 0.000
0.750 0.750 0.750
0.500 0.500 0.500
0.250 0.250 0.250
```

* D(E_F): 3.39 states/eV/cell
* volume: 57 Å³ per cell
* space-group type: F-43m, No. 216
* energy of formation: 0.047 eV per atom

An optimized crystal structure of LiYReRh2, computed with PBE-GGA.

Geometry as POSCAR:
```
LiYReRh2
1.0
4.733 0.000 0.000
0.000 4.558 0.000
0.000 0.000 4.733
Rh Re Y Li
2 1 1 1
Direct
0.500 0.000 0.000
0.000 0.000 0.500
0.000 0.000 0.000
0.500 0.500 0.500
0.000 0.500 0.000
```

* D(E_F): 4.24 states/eV/cell
* volume: 102 Å³ per cell
* space-group type: P4/mmm, No. 123
* energy of formation: 0.411 eV per atom

An optimized crystal structure of LiReRu, computed with PBE-GGA.

Geometry as POSCAR:
```
LiReRu
1.0
4.895 -0.002 0.000
3.053 3.826 0.000
-3.974 -1.912 2.124
Re Li Ru
1 1 1
Direct
0.329 0.329 0.000
0.004 0.004 0.000
0.667 0.667 0.000
```

* D(E_F): 1.05 states/eV/cell
* volume: 40 Å³ per cell
* space-group type: I4mm, No. 107
* energy of formation: 0.169 eV per atom

An optimized crystal structure of LiReRu, computed with PBE-GGA.

Geometry as POSCAR:
```
LiReRu
1.0
-1.575 2.984 2.904
-4.146 1.376 -0.859
2.528 -3.540 0.947
Ru Re Li
1 1 1
Direct
0.666 0.666 0.000
0.333 0.333 0.000
0.001 0.001 0.000
```

* D(E_F): 2.05 states/eV/cell
* volume: 40 Å³ per cell
* space-group type: Imm2, No. 44
* energy of formation: 0.208 eV per atom

An optimized crystal structure of LiReRu, computed with PBE-GGA.

Geometry as POSCAR:
```
LiReRu
1.0
-0.691 -2.176 -1.519
-0.621 0.061 2.670
-5.974 2.913 -1.457
Li Re Ru
1 1 1
Direct
0.000 0.000 0.996
0.333 0.667 0.352
0.667 0.333 0.653
```

* D(E_F): 2.16 states/eV/cell
* volume: 44 Å³ per cell
* space-group type: P3m1, No. 156
* energy of formation: 0.156 eV per atom

An optimized crystal structure of LiReRu, computed with PBE-GGA.

Geometry as POSCAR:
```
LiReRu
1.0
7.194 0.014 -0.009
6.494 2.576 0.016
0.700 -0.982 2.367
Li Ru Re
1 1 1
Direct
0.002 0.002 0.998
0.670 0.670 0.330
0.328 0.328 0.672
```

* D(E_F): 3.16 states/eV/cell
* volume: 44 Å³ per cell
* space-group type: Fmm2, No. 42
* energy of formation: 0.291 eV per atom

An optimized crystal structure of LiReRu, computed with PBE-GGA.

Geometry as POSCAR:
```
LiReRu
1.0
-3.867 1.021 -0.782
-2.340 -2.458 -2.257
-3.047 -2.074 1.739
Li Re Ru
1 1 1
Direct
0.000 0.000 0.000
0.500 0.500 0.500
0.750 0.750 0.750
```

* D(E_F): 2.05 states/eV/cell
* volume: 48 Å³ per cell
* space-group type: F-43m, No. 216
* energy of formation: 0.574 eV per atom